# 1
Density functional theory data (GGA-PBE) for a relaxed structure of KTl2P.

Cell lengths 6.629, 6.629, 3.332 Å; angles 102.01, 102.01, 120.78 degrees
Element x y z (fractional)
K (0.000, 0.000, 0.000)
Tl (0.000, 0.500, 0.500)
Tl (0.500, 0.000, 0.500)
P (0.500, 0.500, 0.000)

Calculated values
Its space group is C2/m (12).

# 2
Density functional theory data (GGA-PBE) for a relaxed structure of KTl2P.

Cell lengths 7.059, 7.059, 7.059 Å; angles 101.97, 101.97, 125.82 degrees
Element x y z (fractional)
K (0.000, 0.000, 0.000)
K (0.750, 0.250, 0.500)
Tl (0.198, 0.625, 0.073)
Tl (0.375, 0.448, 0.573)
Tl (0.552, 0.125, 0.927)
Tl (0.875, 0.802, 0.427)
P (0.250, 0.750, 0.500)
P (0.500, 0.500, 0.000)

Calculated values
Its space group is I-42d (122).

What did we get for relative energy among the computed polymorphs? Answer: 0.314; 0.058 eV per atom, in the order shown.
What did we get for calculated formation energy? Answer: 201; -55 meV per atom, in the order shown.